# 1
LaVIr2, relaxed, DFT PBE-GGA; offset from the most stable computed form = 44 meV per atom; energy of formation from the pure elements = -1.4 kJ/mol of atoms
1.0
4.024 -2.425 -0.610
1.591 -2.852 3.432
-0.131 -4.701 -0.575
Ir La V
2 1 1
Direct
0.250 0.250 0.250
0.750 0.750 0.750
0.500 0.500 0.500
0.000 0.000 0.000

***

# 2
La2V2Ir, relaxed, DFT PBE-GGA; offset from the most stable computed form = 856 meV per atom; energy of formation from the pure elements = 91.9 kJ/mol of atoms
1.0
4.007 0.000 0.000
0.000 4.007 0.000
2.003 2.003 6.776
Ir La V
1 2 2
Direct
0.000 0.000 0.000
0.750 0.250 0.500
0.250 0.750 0.500
0.432 0.432 0.136
0.568 0.568 0.864

***

# 3
LaVIr3, relaxed, DFT PBE-GGA; offset from the most stable computed form = 1933 meV per atom; energy of formation from the pure elements = 195.5 kJ/mol of atoms
1.0
4.909 0.000 0.000
0.000 4.909 0.000
0.000 0.000 4.909
Ir La V
3 1 1
Direct
0.000 0.500 0.000
0.000 0.000 0.500
0.500 0.000 0.000
0.000 0.000 0.000
0.500 0.500 0.500

***

DOS(E_F) in states/eV/f.u., matching the order above: 5.1, 7.8, 9.6